The following is a GGA-PBEsol calculation of a geometry-optimized ZrTiW4 structure, from Alexandria.

Cell: 5.2973 5.2973 5.2973 Å, 60.00 60.00 60.00°
With the nearest neighbours (Å) after each atom.
Positions (direct):
Zr (0.0000, 0.0000, 0.0000)  12 W 3.11, 4 Ti 3.24
Ti (0.7500, 0.7500, 0.7500)  12 W 3.11, 4 Zr 3.24
W (0.3751, 0.3751, 0.3751)  6 W 2.65
W (0.3751, 0.3751, 0.8748)  6 W 2.65
W (0.8748, 0.3751, 0.3751)  6 W 2.65
W (0.3751, 0.8748, 0.3751)  6 W 2.65

Summary:
For the density of states at the Fermi level, the calculation gives 0.45 states/eV per atom. The formation energy is -0.031 eV/atom. As for the space-group type: F-43m (216).



The following is a GGA-PBEsol calculation of a geometry-optimized ZrTiW3 structure, from Alexandria.

Cell: 4.6837 4.6837 4.6837 Å, 90.00 90.00 90.00°
With the nearest neighbours (Å) after each atom.
Positions (direct):
Zr (0.0000, 0.0000, 0.0000)  6 W 2.34
W (0.5000, 0.0000, 0.0000)  2 Zr 2.34
Ti (0.5000, 0.5000, 0.5000)  12 W 3.31
W (0.0000, 0.0000, 0.5000)  2 Zr 2.34
W (0.0000, 0.5000, 0.0000)  2 Zr 2.34

Summary:
For the density of states at the Fermi level, the calculation gives 1.72 states/eV per atom. The formation energy is 2.413 eV/atom. As for the space-group type: Pm-3m (221).



The following is a GGA-PBEsol calculation of a geometry-optimized Ti3Zn structure, from Alexandria.

Cell: 3.8892 3.8892 4.9413 Å, 113.18 113.18 90.00°
With the nearest neighbours (Å) after each atom.
Positions (direct):
Zn (0.0000, 0.0000, 0.0000)  12 Ti 2.75-2.83
Ti (0.5000, 0.5000, 0.0000)  4 Zn 2.75, 8 Ti 2.83
Ti (0.2500, 0.7500, 0.5000)  8 Ti 2.75-2.83, 4 Zn 2.83
Ti (0.7500, 0.2500, 0.5000)  8 Ti 2.75-2.83, 4 Zn 2.83

Summary:
For the density of states at the Fermi level, the calculation gives 0.93 states/eV per atom. The formation energy is -0.117 eV/atom. As for the space-group type: I4/mmm (139).



The following is a GGA-PBEsol calculation of a geometry-optimized Ti3Zn structure, from Alexandria.

Cell: 3.9559 3.9559 3.9559 Å, 90.00 90.00 90.00°
With the nearest neighbours (Å) after each atom.
Positions (direct):
Zn (0.0000, 0.0000, 0.0000)  12 Ti 2.80
Ti (0.5000, 0.0000, 0.5000)  8 Ti 2.80, 4 Zn 2.80
Ti (0.5000, 0.5000, 0.0000)  8 Ti 2.80, 4 Zn 2.80
Ti (0.0000, 0.5000, 0.5000)  8 Ti 2.80, 4 Zn 2.80

Summary:
For the density of states at the Fermi level, the calculation gives 1.17 states/eV per atom. The formation energy is -0.121 eV/atom. As for the space-group type: Pm-3m (221).



The following is a GGA-PBEsol calculation of a geometry-optimized Ti2Zn structure, from Alexandria.

Cell: 2.9636 2.9636 5.7380 Å, 104.97 104.97 90.00°
With the nearest neighbours (Å) after each atom.
Positions (direct):
Zn (0.0000, 0.0000, 0.0000)  8 Ti 2.73, 4 Zn 2.96
Ti (0.3361, 0.3361, 0.6721)  4 Zn 2.73, 8 Ti 2.79-2.96
Ti (0.6639, 0.6639, 0.3279)  4 Zn 2.73, 8 Ti 2.79-2.96

Summary:
For the density of states at the Fermi level, the calculation gives 0.94 states/eV per atom. The formation energy is -0.158 eV/atom. As for the space-group type: I4/mmm (139).



The following is a GGA-PBEsol calculation of a geometry-optimized ZrTi structure, from Alexandria.

Cell: 3.0557 3.0557 4.8507 Å, 90.00 90.00 120.00°
With the nearest neighbours (Å) after each atom.
Positions (direct):
Ti (0.6667, 0.3333, 0.5000)  6 Zr 3.00, 6 Ti 3.06
Zr (0.3333, 0.6667, 0.0000)  6 Ti 3.00, 6 Zr 3.06

Summary:
For the density of states at the Fermi level, the calculation gives 0.89 states/eV per atom. The formation energy is 0.088 eV/atom. As for the space-group type: P-6m2 (187).



The following is a GGA-PBEsol calculation of a geometry-optimized ZrTi structure, from Alexandria.

Cell: 3.0493 3.0493 4.1725 Å, 90.00 90.00 90.00°
With the nearest neighbours (Å) after each atom.
Positions (direct):
Zr (0.5000, 0.5000, 0.5000)  8 Ti 3.00, 4 Zr 3.05
Ti (0.0000, 0.0000, 0.0000)  8 Zr 3.00, 4 Ti 3.05

Summary:
For the density of states at the Fermi level, the calculation gives 1.62 states/eV per atom. The formation energy is 0.094 eV/atom. As for the space-group type: P4/mmm (123).



The following is a GGA-PBEsol calculation of a geometry-optimized Tm5Tl3 structure, from Alexandria.

Cell: 6.3931 8.7752 8.7752 Å, 120.00 90.00 90.00°
With the nearest neighbours (Å) after each atom.
Positions (direct):
Tl (0.2500, 0.4022, 0.4022)  7 Tm 3.07-3.19
Tm (0.2500, 0.2344, 0.0000)  3 Tl 3.07-3.19
Tm (0.0000, 0.3333, 0.6667)  6 Tl 3.12, 2 Tm 3.20
Tm (0.5000, 0.6667, 0.3333)  6 Tl 3.12, 2 Tm 3.20
Tl (0.7500, 0.0000, 0.4022)  7 Tm 3.07-3.19
Tm (0.7500, 0.2344, 0.2344)  3 Tl 3.07-3.19
Tl (0.7500, 0.4022, 0.0000)  7 Tm 3.07-3.19
Tm (0.0000, 0.6667, 0.3333)  6 Tl 3.12, 2 Tm 3.20
Tm (0.2500, 0.7656, 0.7656)  3 Tl 3.07-3.19
Tm (0.5000, 0.3333, 0.6667)  6 Tl 3.12, 2 Tm 3.20
Tl (0.2500, 0.0000, 0.5978)  7 Tm 3.07-3.19
Tm (0.7500, 0.7656, 0.0000)  3 Tl 3.07-3.19
Tl (0.7500, 0.5978, 0.5978)  7 Tm 3.07-3.19
Tm (0.7500, 0.0000, 0.7656)  3 Tl 3.07-3.19
Tl (0.2500, 0.5978, 0.0000)  7 Tm 3.07-3.19
Tm (0.2500, 0.0000, 0.2344)  3 Tl 3.07-3.19

Summary:
For the density of states at the Fermi level, the calculation gives 1.31 states/eV per atom. The formation energy is -0.352 eV/atom. As for the space-group type: P6_3/mcm (193).



The following is a GGA-PBEsol calculation of a geometry-optimized Tm3Tl structure, from Alexandria.

Cell: 5.4450 6.6555 6.6555 Å, 120.00 90.00 90.00°
With the nearest neighbours (Å) after each atom.
Positions (direct):
Tm (0.7500, 0.8307, 0.1693)  8 Tm 3.28-3.38, 4 Tl 3.31-3.33
Tm (0.7500, 0.3386, 0.1693)  8 Tm 3.28-3.38, 4 Tl 3.31-3.33
Tm (0.2500, 0.6614, 0.8307)  8 Tm 3.28-3.38, 4 Tl 3.31-3.33
Tm (0.2500, 0.1693, 0.3386)  8 Tm 3.28-3.38, 4 Tl 3.31-3.33
Tm (0.7500, 0.8307, 0.6614)  8 Tm 3.28-3.38, 4 Tl 3.31-3.33
Tm (0.2500, 0.1693, 0.8307)  8 Tm 3.28-3.38, 4 Tl 3.31-3.33
Tl (0.2500, 0.6667, 0.3333)  12 Tm 3.31-3.33
Tl (0.7500, 0.3333, 0.6667)  12 Tm 3.31-3.33

Summary:
For the density of states at the Fermi level, the calculation gives 1.41 states/eV per atom. The formation energy is -0.198 eV/atom. As for the space-group type: P6_3/mmc (194).



The following is a GGA-PBEsol calculation of a geometry-optimized Tl3W structure, from Alexandria.

Cell: 5.1046 5.1046 5.1046 Å, 60.00 60.00 60.00°
With the nearest neighbours (Å) after each atom.
Positions (direct):
Tl (0.7500, 0.7500, 0.7500)  4 W 3.13, 4 Tl 3.13
Tl (0.5000, 0.5000, 0.5000)  8 Tl 3.13
W (0.0000, 0.0000, 0.0000)  8 Tl 3.13
Tl (0.2500, 0.2500, 0.2500)  4 W 3.13, 4 Tl 3.13

Summary:
For the density of states at the Fermi level, the calculation gives 0.68 states/eV per atom. Its energy above the most stable polymorph in this dataset is 1.06 eV/f.u. The formation energy is 1.186 eV/atom. As for the space-group type: Fm-3m (225).



The following is a GGA-PBEsol calculation of a geometry-optimized TlW2 structure, from Alexandria.

Cell: 2.7967 4.2918 5.0207 Å, 115.30 106.17 90.00°
With the nearest neighbours (Å) after each atom.
Positions (direct):
W (0.6701, 0.6701, 0.3403)  7 W 2.80-2.94, 5 Tl 2.85-2.95
Tl (0.0000, 0.0000, 0.0000)  2 Tl 2.80, 10 W 2.85-2.95
W (0.3299, 0.3299, 0.6597)  7 W 2.80-2.94, 5 Tl 2.85-2.95

Summary:
For the density of states at the Fermi level, the calculation gives 0.59 states/eV per atom. The formation energy is 0.875 eV/atom. As for the space-group type: Immm (71).



The following is a GGA-PBEsol calculation of a geometry-optimized Tl3W structure, from Alexandria.

Cell: 3.0588 5.3601 5.3601 Å, 90.00 90.00 90.00°
With the nearest neighbours (Å) after each atom.
Positions (direct):
Tl (0.0000, 0.5000, 0.0000)  6 Tl 3.06-3.09, 4 W 3.09
W (0.5000, 0.0000, 0.0000)  2 W 3.06, 8 Tl 3.09
Tl (0.0000, 0.0000, 0.5000)  6 Tl 3.06-3.09, 4 W 3.09
Tl (0.5000, 0.5000, 0.5000)  10 Tl 3.06-3.09

Summary:
For the density of states at the Fermi level, the calculation gives 0.62 states/eV per atom. Its energy above the most stable polymorph in this dataset is 0.00 eV/f.u. The formation energy is 0.921 eV/atom. As for the space-group type: P4/mmm (123).